## one
An optimized crystal structure of TaTe3Rh. Source: the Alexandria database, functional PBE.

The calculation puts the total magnetization at 0.000 μB per atom. The calculated volume is 26.45 Å³/atom.

It has space group Pm-3m (No. 221), with a = 5.095 Å, b = 5.095 Å, c = 5.095 Å, α = 90.00°, β = 90.00° and γ = 90.00°. The distinct sites, in fractional coordinates, are Ta at (0.000, 0.000, 0.000), Te at (0.000, 0.500, 0.500) and Rh at (0.500, 0.500, 0.500).

## two
An optimized crystal structure of TaTe3Rh. Source: the Alexandria database, functional PBE.

The calculation puts the total magnetization at 0.235 μB per atom. The calculated volume is 30.70 Å³/atom.

It has space group Pm-3m (No. 221), with a = 5.354 Å, b = 5.354 Å, c = 5.354 Å, α = 90.00°, β = 90.00° and γ = 90.00°. The distinct sites, in fractional coordinates, are Ta at (0.000, 0.000, 0.000), Te at (0.000, 0.000, 0.500) and Rh at (0.500, 0.500, 0.500).

Pick two: it beats the second-best structure by 0.074 eV/atom.

## one
An optimized crystal structure of TaTeRh3. Source: the Alexandria database, functional PBE.

The calculation puts the total magnetization at 0.000 μB per atom. The calculated volume is 21.17 Å³/atom.

It has space group Pm-3m (No. 221), with a = 4.730 Å, b = 4.730 Å, c = 4.730 Å, α = 90.00°, β = 90.00° and γ = 90.00°. The distinct sites, in fractional coordinates, are Ta at (0.000, 0.000, 0.000), Te at (0.500, 0.500, 0.500) and Rh at (0.000, 0.500, 0.500).

## two
An optimized crystal structure of TaTeRh3. Source: the Alexandria database, functional PBE.

The calculation puts the total magnetization at 0.000 μB per atom. The calculated volume is 21.61 Å³/atom.

It has space group Pm-3m (No. 221), with a = 4.763 Å, b = 4.763 Å, c = 4.763 Å, α = 90.00°, β = 90.00° and γ = 90.00°. The distinct sites, in fractional coordinates, are Ta at (0.000, 0.000, 0.000), Te at (0.500, 0.500, 0.500) and Rh at (0.000, 0.000, 0.500).

Pick two: it beats the second-best structure by 0.450 eV/atom.

## one
An optimized crystal structure of Ta3TiRh. Source: the Alexandria database, functional PBE.

The calculation puts the total magnetization at 0.000 μB per atom. The calculated volume is 19.65 Å³/atom.

It has space group Pm-3m (No. 221), with a = 4.614 Å, b = 4.614 Å, c = 4.614 Å, α = 90.00°, β = 90.00° and γ = 90.00°. The distinct sites, in fractional coordinates, are Ta at (0.000, 0.000, 0.500), Ti at (0.000, 0.000, 0.000) and Rh at (0.500, 0.500, 0.500).

## two
An optimized crystal structure of Ta3TiRh. Source: the Alexandria database, functional PBE.

The calculation puts the total magnetization at 0.000 μB per atom. The calculated volume is 17.54 Å³/atom.

It has space group C2/m (No. 12), with a = 13.655 Å, b = 2.867 Å, c = 9.218 Å, α = 90.00°, β = 103.50° and γ = 90.00°. The distinct sites, in fractional coordinates, are Ta at (0.072, 0.000, 0.134), Ta at (0.162, 0.500, 0.920), Ta at (0.248, 0.000, 0.692), Ti at (0.047, 0.000, 0.659) and Rh at (0.111, 0.500, 0.445).

Pick two: it beats the second-best structure by 1.466 eV/atom.

## one
An optimized crystal structure of TaTi2Rh3. Source: the Alexandria database, functional PBE.

The calculation puts the total magnetization at 0.000 μB per atom. The calculated volume is 15.43 Å³/atom.

It has space group Cmmm (No. 65), with a = 4.621 Å, b = 13.839 Å, c = 2.895 Å, α = 90.00°, β = 90.00° and γ = 90.00°. The distinct sites, in fractional coordinates, are Ta at (0.000, 0.000, 0.000), Ti at (0.000, 0.337, 0.000), Rh at (0.000, 0.175, 0.500) and Rh at (0.000, 0.500, 0.500).

## two
An optimized crystal structure of TaTi2Rh3. Source: the Alexandria database, functional PBE.

The calculation puts the total magnetization at 0.000 μB per atom. The calculated volume is 15.27 Å³/atom.

It has space group P4/mmm (No. 123), with a = 2.922 Å, b = 2.922 Å, c = 10.737 Å, α = 90.00°, β = 90.00° and γ = 90.00°. The distinct sites, in fractional coordinates, are Ta at (0.000, 0.000, 0.000), Ti at (0.000, 0.000, 0.338), Rh at (0.500, 0.500, 0.183) and Rh at (0.500, 0.500, 0.500).

Pick two: it beats the second-best structure by 0.045 eV/atom.

## one
An optimized crystal structure of TaTiRh3. Source: the Alexandria database, functional PBE.

The calculation puts the total magnetization at 0.000 μB per atom. The calculated volume is 16.09 Å³/atom.

It has space group Pnma (No. 62), with a = 7.050 Å, b = 7.011 Å, c = 6.511 Å, α = 90.00°, β = 90.00° and γ = 90.00°. The distinct sites, in fractional coordinates, are Ta at (0.000, 0.000, 0.000), Ti at (0.154, 0.250, 0.412), Rh at (0.119, 0.750, 0.266) and Rh at (0.152, 0.555, 0.642).

## two
An optimized crystal structure of TaTiRh3. Source: the Alexandria database, functional PBE.

The calculation puts the total magnetization at 0.001 μB per atom. The calculated volume is 17.86 Å³/atom.

It has space group Pm-3m (No. 221), with a = 4.470 Å, b = 4.470 Å, c = 4.470 Å, α = 90.00°, β = 90.00° and γ = 90.00°. The distinct sites, in fractional coordinates, are Ta at (0.000, 0.000, 0.000), Ti at (0.500, 0.500, 0.500) and Rh at (0.000, 0.500, 0.500).

## three
An optimized crystal structure of TaTiRh3. Source: the Alexandria database, functional PBE.

The calculation puts the total magnetization at 0.000 μB per atom. The calculated volume is 15.97 Å³/atom.

It has space group C2/c (No. 15), with a = 5.586 Å, b = 13.180 Å, c = 5.117 Å, α = 90.00°, β = 122.03° and γ = 90.00°. The distinct sites, in fractional coordinates, are Ta at (0.000, 0.074, 0.250), Ti at (0.000, 0.252, 0.750), Rh at (0.181, 0.417, 0.125) and Rh at (0.250, 0.250, 0.500).

Pick one: it beats the second-best structure by 0.061 eV/atom.

## one
An optimized crystal structure of TaTiRhW. Source: the Alexandria database, functional PBE.

The calculation puts the total magnetization at 0.000 μB per atom. The calculated volume is 16.02 Å³/atom.

It has space group F-43m (No. 216), with a = 6.352 Å, b = 6.352 Å, c = 6.352 Å, α = 90.00°, β = 90.00° and γ = 90.00°. The distinct sites, in fractional coordinates, are Ta at (0.000, 0.000, 0.000), Ti at (0.000, 0.000, 0.500), Rh at (0.250, 0.250, 0.250) and W at (0.250, 0.250, 0.750).

## two
An optimized crystal structure of TaTiRhW. Source: the Alexandria database, functional PBE.

The calculation puts the total magnetization at 0.000 μB per atom. The calculated volume is 16.11 Å³/atom.

It has space group P4mm (No. 99), with a = 3.194 Å, b = 3.194 Å, c = 6.317 Å, α = 90.00°, β = 90.00° and γ = 90.00°. The distinct sites, in fractional coordinates, are Ta at (0.000, 0.000, 0.000), Ti at (0.000, 0.000, 0.494), Rh at (0.500, 0.500, 0.743) and W at (0.500, 0.500, 0.250).

Pick two: it beats the second-best structure by 0.020 eV/atom.